! PBE-GGA Al9NiP2, optimized geometry; values from VASP
! Energy relative to the elements, meV per atom: 79
! Energy, eV per atom: -4.111
&SYSTEM
  ibrav = 0, nat = 12, ntyp = 3
/
ATOMIC_SPECIES
Al 26.98 Al.upf
Ni 58.69 Ni.upf
P 30.97 P.upf
CELL_PARAMETERS angstrom
8.899 0.000 0.000
-4.449 7.707 0.000
0.000 0.000 2.732
ATOMIC_POSITIONS angstrom
Al -2.225 3.853 0.000
Al 0.000 2.584 1.366
Al -2.212 6.415 1.366
Al 2.237 1.292 1.366
Al 4.449 0.000 0.000
Al 2.225 3.853 0.000
Al 2.212 6.415 1.366
Al 6.662 1.292 1.366
Al 4.449 5.123 1.366
Ni 0.000 0.000 0.000
P 0.000 5.138 0.000
P 4.450 2.569 0.000

! PBE-GGA PmSn2Rh5, optimized geometry; values from VASP
! Energy relative to the elements, meV per atom: -410
! Energy, eV per atom: -6.599
&SYSTEM
  ibrav = 0, nat = 8, ntyp = 3
/
ATOMIC_SPECIES
Pm 145.00 Pm.upf
Sn 118.71 Sn.upf
Rh 102.91 Rh.upf
CELL_PARAMETERS angstrom
-2.074 3.042 5.985
2.074 -3.042 5.985
2.074 3.042 -5.985
ATOMIC_POSITIONS angstrom
Pm 0.000 0.000 0.000
Sn 2.074 0.000 3.376
Sn 0.000 3.042 2.609
Rh 2.074 1.678 -1.406
Rh 2.074 1.678 1.406
Rh 0.000 3.042 0.000
Rh 0.000 1.364 4.579
Rh 0.000 1.364 7.391

! PBE-GGA Cu4PdAu3, optimized geometry; values from VASP
! Energy relative to the elements, meV per atom: -76
! Energy, eV per atom: -4.003
&SYSTEM
  ibrav = 0, nat = 16, ntyp = 3
/
ATOMIC_SPECIES
Cu 63.55 Cu.upf
Pd 106.42 Pd.upf
Au 196.97 Au.upf
CELL_PARAMETERS angstrom
9.006 0.000 0.000
0.000 5.667 0.000
0.000 0.000 4.619
ATOMIC_POSITIONS angstrom
Cu 0.000 1.388 0.000
Cu 0.000 4.279 0.000
Cu 2.252 1.386 1.756
Cu 2.252 4.281 1.756
Cu 4.503 1.388 0.000
Cu 4.503 4.279 0.000
Cu 6.755 1.386 2.862
Cu 6.755 4.281 2.862
Pd 0.000 0.000 2.309
Pd 4.503 0.000 2.309
Au 0.000 2.833 2.309
Au 2.252 0.000 4.082
Au 2.252 2.833 4.120
Au 4.503 2.833 2.309
Au 6.755 0.000 0.537
Au 6.755 2.833 0.498

! PBE-GGA NiP2Cl, optimized geometry; values from VASP
! Energy, eV per atom: -3.853
&SYSTEM
  ibrav = 0, nat = 4, ntyp = 3
/
ATOMIC_SPECIES
Ni 58.69 Ni.upf
P 30.97 P.upf
Cl 35.45 Cl.upf
CELL_PARAMETERS angstrom
0.000 3.068 3.068
3.068 0.000 3.068
3.068 3.068 0.000
ATOMIC_POSITIONS angstrom
Ni 0.000 0.000 0.000
P 1.534 1.534 1.534
P 4.602 4.602 4.602
Cl 3.068 3.068 3.068

! PBE-GGA BeSnB2, optimized geometry; values from VASP
! Energy relative to the elements, meV per atom: 207
! Energy, eV per atom: -5.064
&SYSTEM
  ibrav = 0, nat = 8, ntyp = 3
/
ATOMIC_SPECIES
Be 9.01 Be.upf
Sn 118.71 Sn.upf
B 10.81 B.upf
CELL_PARAMETERS angstrom
3.510 0.000 0.000
0.671 4.428 0.000
0.502 0.129 6.774
ATOMIC_POSITIONS angstrom
Be 0.372 0.704 0.813
Be 4.311 3.853 5.961
Sn 1.401 1.239 4.205
Sn 3.283 3.318 2.569
B 1.695 2.330 6.518
B 2.081 3.664 0.130
B 2.603 0.893 6.645
B 2.988 2.227 0.257

! PBE-GGA RbPaCd2O6, optimized geometry; values from VASP
! Energy, eV per atom: -5.897
&SYSTEM
  ibrav = 0, nat = 20, ntyp = 4
/
ATOMIC_SPECIES
Rb 85.47 Rb.upf
Pa 231.04 Pa.upf
Cd 112.41 Cd.upf
O 16.00 O.upf
CELL_PARAMETERS angstrom
6.077 -4.026 0.000
6.077 4.026 0.000
-3.784 0.000 6.716
ATOMIC_POSITIONS angstrom
Rb 3.240 2.173 5.037
Rb 5.131 -2.173 1.679
Pa 5.131 1.920 1.679
Pa 3.240 -1.920 5.037
Cd 2.166 0.026 1.640
Cd 0.274 -0.026 4.998
Cd 8.097 0.026 1.718
Cd 6.205 -0.026 5.075
O -2.459 0.683 6.473
O 2.865 2.063 2.175
O -0.568 -0.683 3.115
O 4.490 0.375 0.388
O 7.398 2.063 1.183
O 2.598 -0.375 3.746
O 5.773 0.375 2.969
O 0.973 -2.063 5.532
O 3.881 -0.375 6.327
O 8.939 0.683 3.600
O 5.506 -2.063 4.541
O 10.830 -0.683 0.243

! PBE-GGA HoScNiRu, optimized geometry; values from VASP
! Energy relative to the elements, meV per atom: -500
! Energy, eV per atom: -6.992
&SYSTEM
  ibrav = 0, nat = 4, ntyp = 4
/
ATOMIC_SPECIES
Ho 164.93 Ho.upf
Sc 44.96 Sc.upf
Ni 58.69 Ni.upf
Ru 101.07 Ru.upf
CELL_PARAMETERS angstrom
3.303 0.000 0.000
0.000 3.303 0.000
0.000 0.000 6.510
ATOMIC_POSITIONS angstrom
Ho 0.000 0.000 0.000
Sc 0.000 0.000 3.232
Ni 1.652 1.652 4.772
Ru 1.652 1.652 1.736

! PBE-GGA TmCdSn, optimized geometry; values from VASP
! Energy relative to the elements, meV per atom: -379
! Energy, eV per atom: -3.508
&SYSTEM
  ibrav = 0, nat = 3, ntyp = 3
/
ATOMIC_SPECIES
Tm 168.93 Tm.upf
Cd 112.41 Cd.upf
Sn 118.71 Sn.upf
CELL_PARAMETERS angstrom
4.967 0.000 0.000
-2.484 4.302 0.000
0.000 0.000 3.429
ATOMIC_POSITIONS angstrom
Tm 0.000 0.000 0.000
Cd 0.000 2.868 1.707
Sn 2.484 1.434 1.721

! PBE-GGA BaCa2Zr, optimized geometry; values from VASP
! Energy relative to the elements, meV per atom: 416
! Energy, eV per atom: -3.203
&SYSTEM
  ibrav = 0, nat = 4, ntyp = 3
/
ATOMIC_SPECIES
Ba 137.33 Ba.upf
Ca 40.08 Ca.upf
Zr 91.22 Zr.upf
CELL_PARAMETERS angstrom
6.230 -1.822 0.000
6.230 1.822 0.000
-1.053 0.000 6.658
ATOMIC_POSITIONS angstrom
Ba 0.000 0.000 0.000
Ca 2.183 0.000 4.821
Ca 9.223 0.000 1.837
Zr 5.703 0.000 3.329

! PBE-GGA In2IrPd, optimized geometry; values from VASP
! Energy relative to the elements, meV per atom: 204
! Energy, eV per atom: -4.679
&SYSTEM
  ibrav = 0, nat = 8, ntyp = 3
/
ATOMIC_SPECIES
In 114.82 In.upf
Ir 192.22 Ir.upf
Pd 106.42 Pd.upf
CELL_PARAMETERS angstrom
-2.112 2.112 9.073
2.112 -2.112 9.073
2.112 2.112 -9.073
ATOMIC_POSITIONS angstrom
In 3.168 1.039 -2.268
In 1.039 1.056 2.268
In -1.056 1.073 6.804
In 1.073 1.056 11.341
Ir 0.000 0.000 0.000
Ir 0.000 2.112 4.536
Pd 2.112 0.000 4.536
Pd 0.000 0.000 9.073

! PBE-GGA SmDy2Sc, optimized geometry; values from VASP
! Energy relative to the elements, meV per atom: 43
! Energy, eV per atom: -5.021
&SYSTEM
  ibrav = 0, nat = 4, ntyp = 3
/
ATOMIC_SPECIES
Sm 150.36 Sm.upf
Dy 162.50 Dy.upf
Sc 44.96 Sc.upf
CELL_PARAMETERS angstrom
3.510 0.000 0.000
0.000 3.510 0.000
0.000 0.000 9.814
ATOMIC_POSITIONS angstrom
Sm 0.000 0.000 0.000
Dy 1.755 1.755 2.588
Dy 1.755 1.755 7.227
Sc 0.000 0.000 4.907

! PBE-GGA InPN, optimized geometry; values from VASP
! Energy, eV per atom: -5.433
&SYSTEM
  ibrav = 0, nat = 6, ntyp = 3
/
ATOMIC_SPECIES
In 114.82 In.upf
P 30.97 P.upf
N 14.01 N.upf
CELL_PARAMETERS angstrom
4.854 -1.740 0.000
4.854 1.740 0.000
-1.811 0.000 6.480
ATOMIC_POSITIONS angstrom
In 0.271 0.000 2.406
In 7.627 0.000 4.075
P 0.356 0.000 5.783
P 7.542 0.000 0.697
N 1.488 0.000 4.556
N 6.410 0.000 1.924

! PBE-GGA Al2SiBr, optimized geometry; values from VASP
! Energy, eV per atom: -3.505
&SYSTEM
  ibrav = 0, nat = 4, ntyp = 3
/
ATOMIC_SPECIES
Al 26.98 Al.upf
Si 28.09 Si.upf
Br 79.90 Br.upf
CELL_PARAMETERS angstrom
3.242 0.000 0.000
0.000 4.626 0.000
0.000 0.000 5.318
ATOMIC_POSITIONS angstrom
Al 0.000 0.000 0.000
Al 1.621 2.313 2.659
Si 0.000 0.000 2.659
Br 1.621 2.313 0.000

! PBE-GGA K2MgTc, optimized geometry; values from VASP
! Energy relative to the elements, meV per atom: 1046
! Energy, eV per atom: -2.493
&SYSTEM
  ibrav = 0, nat = 4, ntyp = 3
/
ATOMIC_SPECIES
K 39.10 K.upf
Mg 24.30 Mg.upf
Tc 98.00 Tc.upf
CELL_PARAMETERS angstrom
2.935 0.000 0.000
0.000 2.935 0.000
0.000 0.000 12.278
ATOMIC_POSITIONS angstrom
K 0.000 0.000 2.740
K 0.000 0.000 9.539
Mg 1.468 1.468 6.139
Tc 1.468 1.468 0.000

! PBE-GGA Tl15Cd2Hg2, optimized geometry; values from VASP
! Energy relative to the elements, meV per atom: 104
! Energy, eV per atom: -1.892
&SYSTEM
  ibrav = 0, nat = 19, ntyp = 3
/
ATOMIC_SPECIES
Tl 204.38 Tl.upf
Cd 112.41 Cd.upf
Hg 200.59 Hg.upf
CELL_PARAMETERS angstrom
5.643 3.258 5.669
-5.643 3.258 5.669
0.000 -6.516 5.669
ATOMIC_POSITIONS angstrom
Tl -5.643 0.000 8.504
Tl -1.750 -3.485 5.669
Tl -2.821 1.629 2.835
Tl -3.893 0.227 5.669
Tl -2.801 -1.617 8.326
Tl 1.750 -3.485 5.669
Tl -2.144 3.258 5.669
Tl 0.000 -3.234 8.682
Tl -2.801 1.617 8.682
Tl 2.821 1.629 2.835
Tl 2.801 -1.617 8.326
Tl 0.000 3.234 8.326
Tl 3.893 0.227 5.669
Tl 2.143 3.258 5.669
Tl 2.801 1.617 8.682
Cd 0.000 0.000 1.500
Cd 0.000 0.000 15.508
Hg 0.000 0.000 4.786
Hg 0.000 0.000 12.222

! PBE-GGA K3HgAs2O8, optimized geometry; values from VASP
! Energy, eV per atom: -5.021
&SYSTEM
  ibrav = 0, nat = 14, ntyp = 4
/
ATOMIC_SPECIES
K 39.10 K.upf
Hg 200.59 Hg.upf
As 74.92 As.upf
O 16.00 O.upf
CELL_PARAMETERS angstrom
5.946 0.000 0.000
-2.973 5.150 0.000
0.000 0.000 7.874
ATOMIC_POSITIONS angstrom
K 0.000 0.000 0.000
K 0.000 3.433 5.451
K 2.973 1.717 2.423
Hg 0.000 0.000 3.937
As 0.000 3.433 1.875
As 2.973 1.717 5.999
O 0.000 1.784 2.396
O -1.428 4.258 2.396
O 0.000 3.433 0.167
O 1.545 0.892 5.478
O 1.428 4.258 2.396
O 2.973 1.717 7.707
O 4.401 0.892 5.478
O 2.973 3.366 5.478

! PBE-GGA Cs2Pa3Te8, optimized geometry; values from VASP
! Energy, eV per atom: -5.134
&SYSTEM
  ibrav = 0, nat = 13, ntyp = 3
/
ATOMIC_SPECIES
Cs 132.91 Cs.upf
Pa 231.04 Pa.upf
Te 127.60 Te.upf
CELL_PARAMETERS angstrom
5.473 -9.475 0.000
5.473 9.475 0.000
0.000 0.000 5.187
ATOMIC_POSITIONS angstrom
Cs 5.473 4.844 0.000
Cs 5.473 -4.844 0.000
Pa 2.369 0.000 2.593
Pa 5.473 0.000 0.000
Pa 8.577 0.000 2.593
Te 5.473 7.598 2.593
Te 2.870 1.779 0.000
Te 2.870 -1.779 0.000
Te 5.473 1.736 2.593
Te 5.473 -1.736 2.593
Te 8.077 1.779 0.000
Te 8.077 -1.779 0.000
Te 5.473 -7.598 2.593

! PBE-GGA Ho5Tm3Se8, optimized geometry; values from VASP
! Energy, eV per atom: -5.704
&SYSTEM
  ibrav = 0, nat = 16, ntyp = 3
/
ATOMIC_SPECIES
Ho 164.93 Ho.upf
Tm 168.93 Tm.upf
Se 78.96 Se.upf
CELL_PARAMETERS angstrom
4.041 2.333 6.599
-4.041 2.333 6.599
0.000 -4.667 6.599
ATOMIC_POSITIONS angstrom
Ho 0.000 0.000 0.000
Ho -2.021 -1.167 6.599
Ho -2.021 1.167 13.198
Ho 0.000 2.333 6.599
Ho 0.000 0.000 9.899
Tm -4.041 0.000 9.899
Tm -2.021 1.167 3.300
Tm 2.021 1.167 3.300
Se -2.032 -1.173 11.530
Se 0.000 0.000 4.923
Se 0.000 -2.346 8.267
Se -2.032 1.173 8.267
Se 2.032 -1.173 11.530
Se 0.000 2.346 11.530
Se 0.000 0.000 14.875
Se 2.032 1.173 8.267

For each record above, in turn, the calculated density of states at the Fermi level values are 0.3812, 0.9158, 0.2977, 0.8723, 0.1294, 0.6258, 0.3712, 0.4274, 1.4981, 0.7229, 1.5152, 0.0648, 0.3657, 0.6621, 0.3462, 0.4713, 0.3881, 0.6386 states/eV per atom.
For each record above, in turn, the calculated total moment values are 0.0, 0.0, 0.0, 0.0, 0.0, 0.0, 0.0, 0.0, 1.7, 0.0, 0.0, 0.0, 0.0, 0.0, 0.0, 1.1, 1.0, 0.0 μB/f.u..